Computed, not measured: an optimized crystal structure of ErCu3Ge2 at the PBE level of DFT.

```
ErCu3Ge2
1.0
3.997 0.000 0.000
-1.998 7.496 0.117
0.000 -3.270 6.433
Ge Cu Er
4 6 2
Cartesian
1.998 -0.280 1.181
0.000 4.506 5.369
1.998 3.555 1.948
0.000 0.670 4.602
1.998 4.854 4.073
0.000 4.989 2.171
0.000 -0.628 2.477
1.998 1.338 3.001
1.998 -0.763 4.379
0.000 2.888 3.550
0.000 1.978 0.464
1.998 2.248 6.087
```

Results
The formation energy is -2.16 eV per formula unit. As for the magnetization: 0.0 μB per cell. The value obtained for the density of states at the Fermi level is 4.90 states/eV per cell.